# 1
Ti8CrMo2 | GGA-PBE | relaxed

For the formation energy, the calculation gives 0.49 eV/f.u. Its calculated total energy is -8.54 eV per atom. The mass density comes out at 5.76 Mg/m³.

The space group is C2/m (No. 12) and the conventional cell measures 14.122, 4.470 and 5.918 Å, with angles of 90.00, 104.78 and 90.00 degrees. The asymmetric unit holds Ti at (0.023, 0.000, 0.265), Ti at (0.107, 0.500, 0.938), Ti at (0.157, 0.500, 0.425), Ti at (0.173, 0.000, 0.713), Cr at (0.000, 0.500, 0.500) and Mo at (0.204, 0.000, 0.163).

=====

# 2
ThMg2Ga2Au2 | GGA-PBE | relaxed

For the formation energy, the calculation gives -3.54 eV/f.u. Its calculated total energy is -3.82 eV per atom. The mass density comes out at 9.44 Mg/m³.

The space group is R-3m (No. 166, hexagonal axes) and the conventional cell measures 4.4915, 4.4915 and 24.5952 Å, with angles of 90.00, 90.00 and 120.00 degrees. The asymmetric unit holds Th at (0.0000, 0.0000, 0.0000), Mg at (0.0000, 0.0000, 0.1373), Ga at (0.0000, 0.0000, 0.2605) and Au at (0.0000, 0.0000, 0.4270).

=====

# 3
FeHgBiH | GGA-PBE | relaxed

Its calculated total energy is -3.62 eV per atom. Its distance to the lowest polymorph of the same formula is 84 meV per atom. The mass density comes out at 10.80 Mg/m³.

The space group is P1 (No. 1) and the conventional cell measures 3.418, 4.262 and 5.230 Å, with angles of 84.78, 70.96 and 89.92 degrees. The asymmetric unit holds Fe at (0.000, 0.000, 0.000), Hg at (0.722, 0.925, 0.557), Bi at (0.437, 0.486, 0.126) and H at (0.121, 0.267, 0.758).

=====

# 4
Nd4PtAu | GGA-PBE | relaxed

For the formation energy, the calculation gives -3.88 eV/f.u. Its calculated total energy is -5.38 eV per atom. Its distance to the lowest polymorph of the same formula is 0 meV per atom. The mass density comes out at 9.26 Mg/m³.

The space group is Pnma (No. 62) and the conventional cell measures 8.556, 4.987 and 16.281 Å, with angles of 90.00, 90.00 and 90.00 degrees. The asymmetric unit holds Nd at (0.036, 0.250, 0.072), Nd at (0.073, 0.250, 0.784), Nd at (0.126, 0.250, 0.340), Nd at (0.158, 0.250, 0.570), Pt at (0.202, 0.750, 0.691) and Au at (0.218, 0.750, 0.438).

=====

no.,total magnetic moment (Bohr magnetons per cell)
1,0.00
2,0.00
3,2.01
4,0.00